# AlCdIr2 | Alexandria via LeMat-Bulk | GGA-PBE | optimized geometry
data_AlCdIr2
_chemical_formula_sum 'Al3 Cd3 Ir6'
_cell_length_a 2.8761
_cell_length_b 2.8761
_cell_length_c 26.3623
_cell_angle_alpha 90.00
_cell_angle_beta 90.00
_cell_angle_gamma 120.00
_symmetry_space_group_name_H-M 'R -3 m'
_symmetry_Int_Tables_number 166
_symmetry_space_group_name_Hall '-R 3 2"'
loop_
_atom_site_label
_atom_site_type_symbol
_atom_site_fract_x
_atom_site_fract_y
_atom_site_fract_z
_atom_site_occupancy
Al1 Al 0.0000 0.0000 0.0000 1
Cd1 Cd 0.0000 0.0000 0.5000 1
Ir1 Ir 0.0000 0.0000 0.2597 1
# - Energy of formation: -249 meV/atom
# - Size of the total moment: 0.4 μB/cell
# - Raw total energy: -5.844 eV per atom


# NdTe | Alexandria via LeMat-Bulk | GGA-PBE | optimized geometry
data_NdTe
_chemical_formula_sum 'Nd1 Te1'
_cell_length_a 3.881
_cell_length_b 3.881
_cell_length_c 3.881
_cell_angle_alpha 90.00
_cell_angle_beta 90.00
_cell_angle_gamma 90.00
_symmetry_space_group_name_H-M 'P m -3 m'
_symmetry_Int_Tables_number 221
_symmetry_space_group_name_Hall '-P 4 2 3'
loop_
_atom_site_label
_atom_site_type_symbol
_atom_site_fract_x
_atom_site_fract_y
_atom_site_fract_z
_atom_site_occupancy
Nd1 Nd 0.000 0.000 0.000 1
Te1 Te 0.500 0.500 0.500 1
# - Formation energy from raw total energies: -1323 meV per atom
# - Size of the total moment: 0.4 μB/cell
# - Raw total energy: -5.278 eV per atom


# CrSbP | Alexandria via LeMat-Bulk | GGA-PBE | optimized geometry
data_CrSbP
_chemical_formula_sum 'Cr4 Sb4 P4'
_cell_length_a 11.873
_cell_length_b 3.194
_cell_length_c 5.451
_cell_angle_alpha 90.00
_cell_angle_beta 92.30
_cell_angle_gamma 90.00
_symmetry_space_group_name_H-M 'C 1 m 1'
_symmetry_Int_Tables_number 8
loop_
_symmetry_equiv_pos_as_xyz
'x,y,z'
'x,-y,z'
'x+1/2,y+1/2,z'
'x+1/2,-y+1/2,z'
loop_
_atom_site_label
_atom_site_type_symbol
_atom_site_fract_x
_atom_site_fract_y
_atom_site_fract_z
_atom_site_occupancy
Cr1 Cr 0.000 0.000 0.000 1
Cr2 Cr 0.204 0.000 0.360 1
Sb1 Sb 0.161 0.500 0.809 1
Sb2 Sb 0.402 0.000 0.646 1
P1 P 0.045 0.500 0.295 1
P2 P 0.317 0.500 0.157 1
# - Formation energy from raw total energies: -48 meV per atom
# - Energy above the lowest structure with this stoichiometry: 11.1 kJ/mol of atoms
# - Size of the total moment: 4.1 μB/cell
# - Raw total energy: -6.433 eV per atom


# Tl4In4Hg | Alexandria via LeMat-Bulk | GGA-PBE | optimized geometry
data_Tl4In4Hg
_chemical_formula_sum 'Tl8 In8 Hg2'
_cell_length_a 6.184
_cell_length_b 6.184
_cell_length_c 14.716
_cell_angle_alpha 90.00
_cell_angle_beta 90.00
_cell_angle_gamma 90.00
_symmetry_space_group_name_H-M 'I -4 2 m'
_symmetry_Int_Tables_number 121
_symmetry_space_group_name_Hall 'I -4 2'
loop_
_atom_site_label
_atom_site_type_symbol
_atom_site_fract_x
_atom_site_fract_y
_atom_site_fract_z
_atom_site_occupancy
Tl1 Tl 0.000 0.000 0.107 1
Tl2 Tl 0.000 0.500 0.000 1
In1 In 0.181 0.181 0.700 1
Hg1 Hg 0.000 0.000 0.500 1
# - Energy of formation: 115 meV/atom
# - Energy above the lowest structure with this stoichiometry: 9.1 kJ/mol of atoms
# - Size of the total moment: 0.0 μB/cell
# - Raw total energy: -2.188 eV per atom


# ZrB3P | Alexandria via LeMat-Bulk | GGA-PBE | optimized geometry
data_ZrB3P
_chemical_formula_sum 'Zr1 B3 P1'
_cell_length_a 3.857
_cell_length_b 3.857
_cell_length_c 3.857
_cell_angle_alpha 90.00
_cell_angle_beta 90.00
_cell_angle_gamma 90.00
_symmetry_space_group_name_H-M 'P m -3 m'
_symmetry_Int_Tables_number 221
_symmetry_space_group_name_Hall '-P 4 2 3'
loop_
_atom_site_label
_atom_site_type_symbol
_atom_site_fract_x
_atom_site_fract_y
_atom_site_fract_z
_atom_site_occupancy
Zr1 Zr 0.000 0.000 0.000 1
B1 B 0.000 0.500 0.500 1
P1 P 0.500 0.500 0.500 1
# - Energy of formation: 856 meV/atom
# - Energy above the lowest structure with this stoichiometry: 0.0 kJ/mol of atoms
# - Size of the total moment: 0.0 μB/cell
# - Raw total energy: -5.942 eV per atom


# LiReAs2 | Alexandria via LeMat-Bulk | GGA-PBE | optimized geometry
data_LiReAs2
_chemical_formula_sum 'Li2 Re2 As4'
_cell_length_a 3.048
_cell_length_b 5.212
_cell_length_c 8.337
_cell_angle_alpha 90.00
_cell_angle_beta 90.00
_cell_angle_gamma 90.00
_symmetry_space_group_name_H-M 'C m m m'
_symmetry_Int_Tables_number 65
_symmetry_space_group_name_Hall '-C 2 2'
loop_
_atom_site_label
_atom_site_type_symbol
_atom_site_fract_x
_atom_site_fract_y
_atom_site_fract_z
_atom_site_occupancy
Li1 Li 0.000 0.000 0.000 1
Re1 Re 0.000 0.000 0.500 1
As1 As 0.000 0.500 0.257 1
# - Energy of formation: 135 meV/atom
# - Energy above the lowest structure with this stoichiometry: 31.1 kJ/mol of atoms
# - Size of the total moment: 0.0 μB/cell
# - Raw total energy: -5.780 eV per atom


# NaLi2Bi2Pd2 | Alexandria via LeMat-Bulk | GGA-PBE | optimized geometry
data_NaLi2Bi2Pd2
_chemical_formula_sum 'Na3 Li6 Bi6 Pd6'
_cell_length_a 4.4679
_cell_length_b 4.4679
_cell_length_c 27.3145
_cell_angle_alpha 90.00
_cell_angle_beta 90.00
_cell_angle_gamma 120.00
_symmetry_space_group_name_H-M 'R -3 m'
_symmetry_Int_Tables_number 166
_symmetry_space_group_name_Hall '-R 3 2"'
loop_
_atom_site_label
_atom_site_type_symbol
_atom_site_fract_x
_atom_site_fract_y
_atom_site_fract_z
_atom_site_occupancy
Na1 Na 0.0000 0.0000 0.0000 1
Li1 Li 0.0000 0.0000 0.1457 1
Bi1 Bi 0.0000 0.0000 0.2535 1
Pd1 Pd 0.0000 0.0000 0.4497 1
# - Energy of formation: -367 meV/atom
# - Size of the total moment: 0.0 μB/cell
# - Raw total energy: -3.695 eV per atom


# ScCu6 | Alexandria via LeMat-Bulk | GGA-PBE | optimized geometry
data_ScCu6
_chemical_formula_sum 'Sc2 Cu12'
_cell_length_a 6.356
_cell_length_b 6.356
_cell_length_c 6.356
_cell_angle_alpha 90.00
_cell_angle_beta 90.00
_cell_angle_gamma 90.00
_symmetry_space_group_name_H-M 'I m -3 m'
_symmetry_Int_Tables_number 229
_symmetry_space_group_name_Hall '-I 4 2 3'
loop_
_atom_site_label
_atom_site_type_symbol
_atom_site_fract_x
_atom_site_fract_y
_atom_site_fract_z
_atom_site_occupancy
Sc1 Sc 0.000 0.000 0.000 1
Cu1 Cu 0.000 0.250 0.500 1
# - Energy of formation: 641 meV/atom
# - Energy above the lowest structure with this stoichiometry: 72.4 kJ/mol of atoms
# - Size of the total moment: 0.0 μB/cell
# - Raw total energy: -3.775 eV per atom


# LiHfScS4 | Alexandria via LeMat-Bulk | GGA-PBE | optimized geometry
data_LiHfScS4
_chemical_formula_sum 'Li4 Hf4 Sc4 S16'
_cell_length_a 7.473
_cell_length_b 7.538
_cell_length_c 10.627
_cell_angle_alpha 90.00
_cell_angle_beta 90.00
_cell_angle_gamma 90.00
_symmetry_space_group_name_H-M 'I m m a'
_symmetry_Int_Tables_number 74
_symmetry_space_group_name_Hall '-I 2b 2'
loop_
_atom_site_label
_atom_site_type_symbol
_atom_site_fract_x
_atom_site_fract_y
_atom_site_fract_z
_atom_site_occupancy
Li1 Li 0.000 0.250 0.120 1
Hf1 Hf 0.250 0.250 0.750 1
Sc1 Sc 0.000 0.000 0.500 1
S1 S 0.000 0.017 0.746 1
S2 S 0.236 0.250 0.511 1
# - Formation energy from raw total energies: -1694 meV per atom
# - Size of the total moment: 0.0 μB/cell
# - Raw total energy: -6.653 eV per atom


# Ta3NbAl | Alexandria via LeMat-Bulk | GGA-PBE | optimized geometry
data_Ta3NbAl
_chemical_formula_sum 'Ta3 Nb1 Al1'
_cell_length_a 4.685
_cell_length_b 4.685
_cell_length_c 4.685
_cell_angle_alpha 90.00
_cell_angle_beta 90.00
_cell_angle_gamma 90.00
_symmetry_space_group_name_H-M 'P m -3 m'
_symmetry_Int_Tables_number 221
_symmetry_space_group_name_Hall '-P 4 2 3'
loop_
_atom_site_label
_atom_site_type_symbol
_atom_site_fract_x
_atom_site_fract_y
_atom_site_fract_z
_atom_site_occupancy
Ta1 Ta 0.000 0.000 0.500 1
Nb1 Nb 0.500 0.500 0.500 1
Al1 Al 0.000 0.000 0.000 1
# - Energy of formation: 1261 meV/atom
# - Energy above the lowest structure with this stoichiometry: 0.0 kJ/mol of atoms
# - Size of the total moment: 0.0 μB/cell
# - Raw total energy: -8.613 eV per atom


# TiMo2S | Alexandria via LeMat-Bulk | GGA-PBE | optimized geometry
data_TiMo2S
_chemical_formula_sum 'Ti4 Mo8 S4'
_cell_length_a 3.644
_cell_length_b 3.644
_cell_length_c 19.419
_cell_angle_alpha 90.00
_cell_angle_beta 90.00
_cell_angle_gamma 90.00
_symmetry_space_group_name_H-M 'I -4 2 d'
_symmetry_Int_Tables_number 122
_symmetry_space_group_name_Hall 'I -4 2bw'
loop_
_atom_site_label
_atom_site_type_symbol
_atom_site_fract_x
_atom_site_fract_y
_atom_site_fract_z
_atom_site_occupancy
Ti1 Ti 0.000 0.000 0.000 1
Mo1 Mo 0.243 0.250 0.625 1
S1 S 0.000 0.000 0.500 1
# - Formation energy from raw total energies: 126 meV per atom
# - Size of the total moment: 0.0 μB/cell
# - Raw total energy: -8.295 eV per atom


# ErSiHRu2 | Alexandria via LeMat-Bulk | GGA-PBE | optimized geometry
data_ErSiHRu2
_chemical_formula_sum 'Er4 Si4 H4 Ru8'
_cell_length_a 3.251
_cell_length_b 11.262
_cell_length_c 7.494
_cell_angle_alpha 90.00
_cell_angle_beta 90.00
_cell_angle_gamma 90.00
_symmetry_space_group_name_H-M 'C m c m'
_symmetry_Int_Tables_number 63
_symmetry_space_group_name_Hall '-C 2c 2'
loop_
_atom_site_label
_atom_site_type_symbol
_atom_site_fract_x
_atom_site_fract_y
_atom_site_fract_z
_atom_site_occupancy
Er1 Er 0.000 0.037 0.250 1
Si1 Si 0.000 0.239 0.750 1
H1 H 0.000 0.500 0.000 1
Ru1 Ru 0.000 0.348 0.046 1
# - Size of the total moment: 0.0 μB/cell
# - Raw total energy: -6.946 eV per atom


Calculated calculated volume, 15.74, 29.24, 17.21, 31.27, 11.47, 16.55, 22.49, 18.34, 21.38, 20.57, 16.11, 13.72 A^3/atom (same order as the records).